This record from Alexandria via LeMat-Bulk describes a relaxed Sc5CuPt4 crystal. The functional is PBE.

- Volume: 17.87 Å³/atom
- E_tot: -7.050 eV/atom

Lattice parameters (Å, degrees): 3.263 3.263 16.782 90.00 90.00 90.00
Positions (direct):
1 Pt 0.000 0.000 0.398
2 Pt 0.000 0.000 0.803
3 Sc 0.500 0.500 0.702
4 Sc 0.500 0.500 0.098
5 Pt 0.000 0.000 0.197
6 Sc 0.500 0.500 0.500
7 Sc 0.500 0.500 0.298
8 Pt 0.000 0.000 0.602
9 Sc 0.500 0.500 0.902
10 Cu 0.000 0.000 0.000